[1]
FeCo2Ni | PBE | optimized geometry

Summary:
Symmetry: No. 225
Offset from the most stable computed form, eV per formula unit: 0.32

a b c (Å): 3.991 3.991 3.991
angles (deg): 60.00 60.00 60.00
Last column: magnetic moment on the atom in μB.
Sites, in units of the cell vectors:
Co  0.250  0.250  0.250  1.67
Co  0.750  0.750  0.750  1.67
Ni  0.500  0.500  0.500  0.61
Fe  0.000  0.000  0.000  2.65


[2]
FeCo4Ni8 | PBE | optimized geometry

Summary:
Symmetry: No. 12

a b c (Å): 3.512 4.327 11.447
angles (deg): 63.61 81.18 66.05
Last column: magnetic moment on the atom in μB.
Sites, in units of the cell vectors:
Fe  0.516  0.002  0.967  2.72
Co  0.360  0.850  0.430  1.72
Co  0.902  0.384  0.812  1.68
Co  0.671  0.154  0.504  1.72
Co  0.129  0.619  0.122  1.68
Ni  0.054  0.541  0.351  0.69
Ni  0.209  0.692  0.890  0.70
Ni  0.436  0.932  0.197  0.69
Ni  0.287  0.769  0.658  0.68
Ni  0.822  0.311  0.044  0.70
Ni  0.596  0.072  0.737  0.69
Ni  0.745  0.234  0.276  0.68
Ni  0.978  0.462  0.582  0.69


[3]
Fe3CoNi6 | PBE | optimized geometry

Summary:
Symmetry: No. 12
Offset from the most stable computed form, eV per formula unit: 2.13

a b c (Å): 6.374 4.756 4.756
angles (deg): 59.29 73.42 73.42
Last column: magnetic moment on the atom in μB.
Sites, in units of the cell vectors:
Ni  0.308  0.089  0.588  0.73
Ni  0.928  0.352  0.352  0.69
Ni  0.072  0.648  0.648  0.69
Ni  0.692  0.911  0.412  0.73
Ni  0.692  0.412  0.911  0.73
Ni  0.308  0.588  0.089  0.73
Co  0.500  0.500  0.500  1.79
Fe  0.686  0.902  0.902  2.71
Fe  0.000  0.000  0.000  2.66
Fe  0.314  0.098  0.098  2.71


[4]
FeCo4Ni2 | PBE | optimized geometry

Summary:
Symmetry: No. 65

a b c (Å): 2.441 3.789 9.361
angles (deg): 90.00 97.49 90.00
Last column: magnetic moment on the atom in μB.
Sites, in units of the cell vectors:
Ni  0.695  0.500  0.391  0.74
Ni  0.305  0.500  0.609  0.74
Co  0.374  0.000  0.747  1.78
Co  0.930  0.500  0.861  1.63
Co  0.626  0.000  0.253  1.78
Co  0.070  0.500  0.139  1.63
Fe  0.500  0.000  0.000  2.67


[5]
Fe7Co3Ni | PBE | optimized geometry

Summary:
Symmetry: No. 63

a b c (Å): 2.690 10.668 9.156
angles (deg): 90.00 90.00 97.24
Last column: magnetic moment on the atom in μB.
Sites, in units of the cell vectors:
Fe  0.485  0.969  0.382  2.69
Fe  0.355  0.711  0.750  2.67
Fe  0.782  0.565  0.590  2.62
Fe  0.515  0.031  0.882  2.69
Fe  0.485  0.969  0.118  2.69
Fe  0.218  0.435  0.090  2.62
Fe  0.515  0.031  0.618  2.69
Fe  0.218  0.435  0.410  2.62
Fe  0.350  0.699  0.072  2.72
Fe  0.782  0.565  0.910  2.62
Fe  0.650  0.301  0.928  2.72
Fe  0.645  0.289  0.250  2.67
Fe  0.650  0.301  0.572  2.72
Fe  0.350  0.699  0.428  2.72
Co  0.080  0.161  0.419  1.66
Co  0.920  0.839  0.919  1.66
Co  0.216  0.432  0.750  1.72
Co  0.080  0.161  0.081  1.66
Co  0.920  0.839  0.581  1.66
Co  0.784  0.568  0.250  1.72
Ni  0.905  0.811  0.250  0.80
Ni  0.095  0.189  0.750  0.80


[6]
Fe6CoNi8 | PBE | optimized geometry

Summary:
Symmetry: No. 148
Offset from the most stable computed form, eV per formula unit: 1.31

a b c (Å): 5.878 5.878 7.175
angles (deg): 65.82 65.82 60.00
Last column: magnetic moment on the atom in μB.
Sites, in units of the cell vectors:
Ni  0.418  0.938  0.413  0.70
Ni  0.938  0.231  0.413  0.70
Ni  0.698  0.698  0.905  0.72
Ni  0.231  0.418  0.413  0.70
Ni  0.062  0.769  0.587  0.70
Ni  0.302  0.302  0.095  0.72
Ni  0.582  0.062  0.587  0.70
Ni  0.769  0.582  0.587  0.70
Co  0.000  0.000  0.000  1.57
Fe  0.676  0.304  0.193  2.87
Fe  0.324  0.696  0.807  2.87
Fe  0.696  0.173  0.807  2.87
Fe  0.304  0.827  0.193  2.87
Fe  0.827  0.676  0.193  2.87
Fe  0.173  0.324  0.807  2.87


ΔH_f (0 K), respectively: 0.06; -0.01; 0.16; 0.27; 0.10; 0.34 eV/atom.
Size of the total moment, respectively: 1.62; 1.12; 1.39; 1.55; 2.22; 1.61 μB/atom.
V, respectively: 44.96; 142.33; 117.07; 85.85; 130.31; 189.13 Å³/f.u..